The following is a DFT calculation (SCAN) of a crystal of Lu3Co2Si3 relaxed with PBEsol.

Geometry as POSCAR:
```
Lu3Co2Si3
1.0
3.999 0.000 0.000
-1.999 5.025 0.000
0.000 0.000 13.140
Co Lu Si
4 6 6
direct
0.786 0.573 0.417
0.214 0.427 0.917
0.786 0.573 0.083
0.214 0.427 0.583
0.081 0.162 0.388
0.919 0.838 0.888
0.919 0.838 0.612
0.081 0.162 0.112
0.362 0.724 0.250
0.638 0.276 0.750
0.383 0.765 0.460
0.333 0.665 0.750
0.617 0.235 0.540
0.617 0.235 0.960
0.667 0.335 0.250
0.383 0.765 0.040
```

Values from the calculation:
For the total energy, the calculation gives -473.44 eV/cell. The crystal system is orthorhombic. As for the space group: No. 63.